No. 1
Pr4DyHo8 | PBE | optimized geometry

Space-group type: R-3m (166)
DOS at the Fermi energy in states/eV per cell: 22.98
Energy of formation in kJ/mol of atoms: 50.52
Mass density in g/cm3: 7.11
E in eV per atom: -4.1181

Unit cell a=7.816 b=7.816 c=7.816 alpha=90.12 beta=90.12 gamma=90.12
Site moments in Bohr magnetons follow the coordinates.
Sites, in units of the cell vectors:
Pr: 0.000 0.500 0.500  0.21
Dy: 0.500 0.500 0.500  0.10
Ho: 0.761 0.761 0.241  0.11
Pr: 0.500 0.500 0.000  0.21
Ho: 0.761 0.241 0.761  0.11
Ho: 0.760 0.760 0.760  0.11
Ho: 0.241 0.761 0.761  0.11
Ho: 0.239 0.759 0.239  0.11
Ho: 0.240 0.240 0.240  0.11
Pr: 0.500 0.000 0.500  0.21
Ho: 0.759 0.239 0.239  0.11
Ho: 0.239 0.239 0.759  0.11
Pr: 0.000 0.000 0.000  -0.05


No. 2
Pr2Dy3Ho3 | PBE | optimized geometry

Space-group type: R32 (155)
Distance to the lowest polymorph of the same formula in meV per atom: 73
DOS at the Fermi energy in states/eV per cell: 16.70
Energy of formation in kJ/mol of atoms: 20.76
Mass density in g/cm3: 7.99
E in eV per atom: -4.4222

Unit cell a=6.420 b=6.420 c=6.420 alpha=93.90 beta=93.90 gamma=86.10
Sites, in units of the cell vectors:
Ho: 0.267 0.733 0.500
Dy: 0.000 0.234 0.234
Dy: 0.766 0.000 0.766
Ho: 0.733 0.500 0.733
Pr: 0.750 0.750 0.250
Ho: 0.500 0.267 0.267
Dy: 0.234 0.766 0.000
Pr: 0.250 0.250 0.750


No. 3
Pr4Dy4Ho5 | PBE | optimized geometry

Space-group type: I4/m (87)
DOS at the Fermi energy in states/eV per cell: 18.34
Energy of formation in kJ/mol of atoms: 2.09
Mass density in g/cm3: 7.96
E in eV per atom: -4.6257

Unit cell a=5.061 b=9.507 c=9.507 alpha=85.94 beta=74.56 gamma=74.56
Sites, in units of the cell vectors:
Ho: 0.000 0.000 0.000
Pr: 0.921 0.460 0.697
Pr: 0.079 0.540 0.303
Dy: 0.153 0.076 0.618
Pr: 0.618 0.303 0.460
Dy: 0.847 0.924 0.382
Dy: 0.771 0.382 0.076
Pr: 0.382 0.697 0.540
Dy: 0.229 0.618 0.924
Ho: 0.539 0.772 0.150
Ho: 0.311 0.150 0.228
Ho: 0.689 0.850 0.772
Ho: 0.461 0.228 0.850


No. 4
PrDyHo | PBE | optimized geometry

Space-group type: P-6m2 (187)
Distance to the lowest polymorph of the same formula in meV per atom: 54
DOS at the Fermi energy in states/eV per cell: 4.29
Energy of formation in kJ/mol of atoms: 6.85
Mass density in g/cm3: 7.90
E in eV per atom: -4.5821

Unit cell a=3.500 b=5.700 c=5.700 alpha=120.00 beta=90.00 gamma=90.00
Sites, in units of the cell vectors:
Ho: 0.168 0.333 0.667
Pr: 0.667 0.667 0.333
Dy: 0.166 0.000 0.000


No. 5
Pr9Dy3Ho2 | PBE | optimized geometry

Space-group type: P6_3/m (176)
DOS at the Fermi energy in states/eV per cell: 36.58
Energy of formation in kJ/mol of atoms: 22.51
Mass density in g/cm3: 6.84
E in eV per atom: -4.4794

Unit cell a=9.120 b=9.120 c=14.051 alpha=90.00 beta=90.00 gamma=120.00
Sites, in units of the cell vectors:
Ho: 0.667 0.333 0.643
Pr: 0.519 0.597 0.750
Pr: 0.922 0.519 0.250
Pr: 0.727 0.595 0.459
Pr: 0.273 0.405 0.959
Pr: 0.868 0.273 0.041
Pr: 0.595 0.868 0.959
Pr: 0.132 0.727 0.959
Dy: 0.921 0.750 0.750
Dy: 0.171 0.921 0.250
Pr: 0.868 0.273 0.459
Pr: 0.597 0.078 0.250
Dy: 0.079 0.250 0.250
Pr: 0.481 0.403 0.250
Pr: 0.405 0.132 0.041
Pr: 0.403 0.922 0.750
Dy: 0.250 0.171 0.750
Ho: 0.333 0.667 0.357
Pr: 0.273 0.405 0.541
Pr: 0.078 0.481 0.750
Dy: 0.750 0.829 0.250
Pr: 0.132 0.727 0.541
Pr: 0.405 0.132 0.459
Dy: 0.829 0.079 0.750
Ho: 0.333 0.667 0.143
Ho: 0.667 0.333 0.857
Pr: 0.595 0.868 0.541
Pr: 0.727 0.595 0.041


No. 6
PrDy7Ho5 | PBE | optimized geometry

Space-group type: Imm2 (44)
DOS at the Fermi energy in states/eV per cell: 24.67
Energy of formation in kJ/mol of atoms: 23.90
Mass density in g/cm3: 8.17
E in eV per atom: -4.3587

Unit cell a=6.658 b=8.681 c=8.681 alpha=79.68 beta=67.45 gamma=67.45
Sites, in units of the cell vectors:
Ho: 0.770 0.730 0.730
Dy: 0.018 0.311 0.652
Dy: 0.519 0.151 0.811
Dy: 0.265 0.235 0.235
Ho: 0.533 0.462 0.001
Dy: 0.018 0.652 0.311
Ho: 0.533 0.001 0.462
Dy: 0.272 0.728 0.728
Dy: 0.519 0.811 0.151
Ho: 0.003 0.001 0.462
Pr: 0.969 0.031 0.031
Ho: 0.003 0.462 0.001
Dy: 0.577 0.423 0.423


No. 7
Pr3Dy7Ho2 | PBE | optimized geometry

Space-group type: P2/m (10)
DOS at the Fermi energy in states/eV per cell: 17.65
Energy of formation in kJ/mol of atoms: 8.33
Mass density in g/cm3: 7.96
E in eV per atom: -4.5561

Unit cell a=3.545 b=6.361 c=18.044 alpha=75.79 beta=90.00 gamma=90.00
Sites, in units of the cell vectors:
Dy: 0.000 0.436 0.834
Pr: 0.500 0.500 0.000
Dy: 0.500 0.943 0.834
Ho: 0.500 0.618 0.327
Dy: 0.000 0.000 0.000
Pr: 0.000 0.887 0.659
Dy: 0.000 0.564 0.166
Pr: 0.000 0.113 0.341
Ho: 0.500 0.382 0.673
Dy: 0.500 0.753 0.499
Dy: 0.500 0.057 0.166
Dy: 0.500 0.247 0.501


No. 8
PrDy7Ho3 | PBE | optimized geometry

Space-group type: P3m1 (156)
Distance to the lowest polymorph of the same formula in meV per atom: 53
DOS at the Fermi energy in states/eV per cell: 17.46
Energy of formation in kJ/mol of atoms: 18.95
Mass density in g/cm3: 7.95
E in eV per atom: -4.4152

Unit cell a=8.591 b=7.055 c=7.055 alpha=120.00 beta=90.00 gamma=90.00
Sites, in units of the cell vectors:
Dy: 0.115 0.168 0.335
Ho: 0.785 0.501 0.001
Ho: 0.785 0.999 0.499
Dy: 0.120 0.667 0.333
Dy: 0.115 0.168 0.832
Dy: 0.450 0.832 0.664
Dy: 0.450 0.832 0.168
Dy: 0.115 0.665 0.832
Dy: 0.450 0.336 0.168
Ho: 0.785 0.501 0.499
Pr: 0.446 0.333 0.667


No. 9
Pr2DyHo4 | PBE | optimized geometry

Space-group type: P1 (1)
Distance to the lowest polymorph of the same formula in meV per atom: 0
DOS at the Fermi energy in states/eV per cell: 19.04
Energy of formation in kJ/mol of atoms: 2.03
Mass density in g/cm3: 8.07
E in eV per atom: -4.6178

Unit cell a=9.469 b=7.998 c=9.486 alpha=115.00 beta=120.08 gamma=104.59
Sites, in units of the cell vectors:
Ho: 0.946 0.503 0.623
Ho: 0.519 0.498 0.483
Dy: 0.663 0.500 0.198
Ho: 0.876 0.000 0.268
Pr: 0.375 0.498 0.768
Pr: 0.734 0.001 0.552
Pr: 0.589 0.002 0.839
Dy: 0.018 0.997 0.985
Pr: 0.230 0.500 0.055
Ho: 0.445 0.002 0.124
Ho: 0.804 0.503 0.911
Ho: 0.160 0.996 0.696
Ho: 0.301 0.000 0.409
Ho: 0.088 0.500 0.339


No. 10
Pr2Dy5Ho | PBE | optimized geometry

Space-group type: Pbam (55)
Distance to the lowest polymorph of the same formula in meV per atom: 0
DOS at the Fermi energy in states/eV per cell: 22.14
Energy of formation in kJ/mol of atoms: 1.99
Mass density in g/cm3: 8.04
E in eV per atom: -4.6228

Unit cell a=5.064 b=7.164 c=14.332 alpha=90.00 beta=90.00 gamma=90.00
Sites, in units of the cell vectors:
Pr: 0.500 0.750 0.375
Dy: 0.500 0.250 0.875
Dy: 0.500 0.750 0.125
Ho: 0.000 0.000 0.500
Pr: 0.500 0.250 0.625
Dy: 0.000 0.000 0.000
Dy: 0.000 0.000 0.250
Dy: 0.000 0.500 0.250
Dy: 0.000 0.000 0.750
Pr: 0.500 0.250 0.125
Dy: 0.500 0.750 0.625
Dy: 0.000 0.500 0.750
Dy: 0.500 0.250 0.375
Dy: 0.000 0.500 0.500
Pr: 0.500 0.750 0.875
Ho: 0.000 0.500 0.000


No. 11
PrDy6Ho5 | PBE | optimized geometry

Space-group type: C2/m (12)
DOS at the Fermi energy in states/eV per cell: 15.23
Energy of formation in kJ/mol of atoms: 1.71
Mass density in g/cm3: 8.51
E in eV per atom: -4.5890

Unit cell a=6.145 b=6.141 c=11.764 alpha=85.03 beta=80.03 gamma=59.98
Sites, in units of the cell vectors:
Ho: 0.333 0.333 0.000
Dy: 0.749 0.000 0.748
Dy: 0.582 0.334 0.252
Dy: 0.916 0.666 0.252
Ho: 0.667 0.667 0.000
Dy: 0.251 0.000 0.252
Ho: 0.833 0.334 0.500
Dy: 0.084 0.334 0.748
Dy: 0.418 0.666 0.748
Pr: 0.000 0.000 0.000
Ho: 0.167 0.666 0.500
Ho: 0.500 0.000 0.500


No. 12
Pr3DyHo4 | PBE | optimized geometry

Space-group type: Immm (71)
Distance to the lowest polymorph of the same formula in meV per atom: 108
DOS at the Fermi energy in states/eV per cell: 11.99
Energy of formation in kJ/mol of atoms: 12.93
Mass density in g/cm3: 7.73
E in eV per atom: -4.5224

Unit cell a=3.489 b=8.956 c=8.956 alpha=81.78 beta=78.77 gamma=78.77
Sites, in units of the cell vectors:
Dy: 0.500 0.000 0.000
Ho: 0.365 0.889 0.380
Pr: 0.757 0.243 0.243
Ho: 0.365 0.380 0.889
Ho: 0.635 0.620 0.111
Pr: 0.243 0.757 0.757
Ho: 0.635 0.111 0.620
Pr: 0.000 0.500 0.500